Arrangement 1

Material: CdN2ClF
Method: DFT, PBE-GGA
State: optimized geometry

Its space group is No. 123.

CIF file:
```
data_CdN2ClF
_cell_length_a 4.506
_cell_length_b 4.506
_cell_length_c 4.279
_cell_angle_alpha 90.00
_cell_angle_beta 90.00
_cell_angle_gamma 90.00
_symmetry_space_group_name_H-M 'P 1'
_symmetry_Int_Tables_number 1
loop_
_symmetry_equiv_pos_as_xyz
'x,y,z'
loop_
_atom_site_label
_atom_site_fract_x
_atom_site_fract_y
_atom_site_fract_z
F1 0.000 0.000 0.500
Cd1 0.000 0.000 0.000
N1 0.500 0.000 0.000
N2 0.000 0.500 0.000
Cl1 0.500 0.500 0.500
```

***

Arrangement 2

Material: CdN2ClF
Method: DFT, PBE-GGA
State: optimized geometry

Its space group is No. 123.

CIF file:
```
data_CdN2ClF
_cell_length_a 3.674
_cell_length_b 3.674
_cell_length_c 5.224
_cell_angle_alpha 90.00
_cell_angle_beta 90.00
_cell_angle_gamma 90.00
_symmetry_space_group_name_H-M 'P 1'
_symmetry_Int_Tables_number 1
loop_
_symmetry_equiv_pos_as_xyz
'x,y,z'
loop_
_atom_site_label
_atom_site_fract_x
_atom_site_fract_y
_atom_site_fract_z
N1 0.000 0.500 0.000
N2 0.500 0.000 0.000
Cd1 0.500 0.500 0.500
F1 0.000 0.000 0.500
Cl1 0.000 0.000 0.000
```

***

arrangement 1 comes first in stability; the runner-up is 37 meV/atom higher.

***

Arrangement 1

Material: CdP2ClF
Method: DFT, PBE-GGA
State: optimized geometry

Its space group is No. 123.

CIF file:
```
data_CdP2ClF
_cell_length_a 5.099
_cell_length_b 5.099
_cell_length_c 5.055
_cell_angle_alpha 90.00
_cell_angle_beta 90.00
_cell_angle_gamma 90.00
_symmetry_space_group_name_H-M 'P 1'
_symmetry_Int_Tables_number 1
loop_
_symmetry_equiv_pos_as_xyz
'x,y,z'
loop_
_atom_site_label
_atom_site_fract_x
_atom_site_fract_y
_atom_site_fract_z
P1 0.500 0.000 0.000
P2 0.000 0.500 0.000
Cl1 0.000 0.000 0.500
F1 0.500 0.500 0.500
Cd1 0.000 0.000 0.000
```

***

Arrangement 2

Material: CdP2ClF
Method: DFT, PBE-GGA
State: optimized geometry

Its space group is No. 123.

CIF file:
```
data_CdP2ClF
_cell_length_a 4.128
_cell_length_b 4.128
_cell_length_c 5.813
_cell_angle_alpha 90.00
_cell_angle_beta 90.00
_cell_angle_gamma 90.00
_symmetry_space_group_name_H-M 'P 1'
_symmetry_Int_Tables_number 1
loop_
_symmetry_equiv_pos_as_xyz
'x,y,z'
loop_
_atom_site_label
_atom_site_fract_x
_atom_site_fract_y
_atom_site_fract_z
P1 0.000 0.500 0.000
P2 0.500 0.000 0.000
Cl1 0.000 0.000 0.500
F1 0.000 0.000 0.000
Cd1 0.500 0.500 0.500
```

***

arrangement 2 comes first in stability; the runner-up is 460 meV/atom higher.

***

Arrangement 1

Material: CdSCl2F
Method: DFT, PBE-GGA
State: optimized geometry

Its space group is No. 123.

CIF file:
```
data_CdSCl2F
_cell_length_a 5.458
_cell_length_b 5.458
_cell_length_c 3.660
_cell_angle_alpha 90.00
_cell_angle_beta 90.00
_cell_angle_gamma 90.00
_symmetry_space_group_name_H-M 'P 1'
_symmetry_Int_Tables_number 1
loop_
_symmetry_equiv_pos_as_xyz
'x,y,z'
loop_
_atom_site_label
_atom_site_fract_x
_atom_site_fract_y
_atom_site_fract_z
S1 0.000 0.000 0.500
Cl1 0.500 0.000 0.000
Cl2 0.000 0.500 0.000
F1 0.000 0.000 0.000
Cd1 0.500 0.500 0.500
```

***

Arrangement 2

Material: CdSCl2F
Method: DFT, PBE-GGA
State: optimized geometry

Its space group is No. 123.

CIF file:
```
data_CdSCl2F
_cell_length_a 4.599
_cell_length_b 5.370
_cell_length_c 4.599
_cell_angle_alpha 90.00
_cell_angle_beta 90.00
_cell_angle_gamma 90.00
_symmetry_space_group_name_H-M 'P 1'
_symmetry_Int_Tables_number 1
loop_
_symmetry_equiv_pos_as_xyz
'x,y,z'
loop_
_atom_site_label
_atom_site_fract_x
_atom_site_fract_y
_atom_site_fract_z
F1 0.500 0.500 0.500
S1 0.000 0.000 0.000
Cl1 0.500 0.000 0.000
Cl2 0.000 0.000 0.500
Cd1 0.000 0.500 0.000
```

***

arrangement 2 comes first in stability; the runner-up is 238 meV/atom higher.

***

Arrangement 1

Material: CdFeCl2
Method: DFT, PBE-GGA
State: optimized geometry

Its space group is No. 8.

CIF file:
```
data_CdFeCl2
_cell_length_a 6.247
_cell_length_b 6.247
_cell_length_c 6.163
_cell_angle_alpha 56.99
_cell_angle_beta 56.99
_cell_angle_gamma 29.87
_symmetry_space_group_name_H-M 'P 1'
_symmetry_Int_Tables_number 1
loop_
_symmetry_equiv_pos_as_xyz
'x,y,z'
loop_
_atom_site_label
_atom_site_fract_x
_atom_site_fract_y
_atom_site_fract_z
Cd1 0.813 0.813 0.756
Cl1 0.160 0.160 0.361
Cl2 0.997 0.997 0.070
Fe1 0.530 0.530 0.313
```

***

Arrangement 2

Material: CdFeCl2
Method: DFT, PBE-GGA
State: optimized geometry

Its space group is No. 225.

CIF file:
```
data_CdFeCl2
_cell_length_a 4.833
_cell_length_b 4.833
_cell_length_c 4.833
_cell_angle_alpha 60.00
_cell_angle_beta 60.00
_cell_angle_gamma 60.00
_symmetry_space_group_name_H-M 'P 1'
_symmetry_Int_Tables_number 1
loop_
_symmetry_equiv_pos_as_xyz
'x,y,z'
loop_
_atom_site_label
_atom_site_fract_x
_atom_site_fract_y
_atom_site_fract_z
Cd1 0.500 0.500 0.500
Fe1 0.000 0.000 0.000
Cl1 0.750 0.750 0.750
Cl2 0.250 0.250 0.250
```

***

Arrangement 3

Material: CdFeCl2
Method: DFT, PBE-GGA
State: optimized geometry

Its space group is No. 65.

CIF file:
```
data_CdFeCl2
_cell_length_a 4.913
_cell_length_b 4.913
_cell_length_c 3.384
_cell_angle_alpha 90.00
_cell_angle_beta 90.00
_cell_angle_gamma 89.24
_symmetry_space_group_name_H-M 'P 1'
_symmetry_Int_Tables_number 1
loop_
_symmetry_equiv_pos_as_xyz
'x,y,z'
loop_
_atom_site_label
_atom_site_fract_x
_atom_site_fract_y
_atom_site_fract_z
Cl1 0.000 0.000 0.000
Cl2 0.500 0.500 0.000
Cd1 0.000 0.500 0.500
Fe1 0.500 0.000 0.500
```

***

arrangement 1 comes first in stability; the runner-up is 486 meV/atom higher.

***

Arrangement 1

Material: CdFeCl2
Method: DFT, PBE-GGA
State: optimized geometry

Its space group is No. 10.

CIF file:
```
data_CdFeCl2
_cell_length_a 3.280
_cell_length_b 3.460
_cell_length_c 9.406
_cell_angle_alpha 85.80
_cell_angle_beta 90.00
_cell_angle_gamma 90.00
_symmetry_space_group_name_H-M 'P 1'
_symmetry_Int_Tables_number 1
loop_
_symmetry_equiv_pos_as_xyz
'x,y,z'
loop_
_atom_site_label
_atom_site_fract_x
_atom_site_fract_y
_atom_site_fract_z
Cd1 0.500 0.750 0.750
Cl1 0.000 0.192 0.075
Cl2 0.000 0.308 0.425
Fe1 0.500 0.250 0.250
```

***

Arrangement 2

Material: CdFeCl2
Method: DFT, PBE-GGA
State: optimized geometry

Its space group is No. 35.

CIF file:
```
data_CdFeCl2
_cell_length_a 3.377
_cell_length_b 3.377
_cell_length_c 8.918
_cell_angle_alpha 90.00
_cell_angle_beta 90.00
_cell_angle_gamma 115.34
_symmetry_space_group_name_H-M 'P 1'
_symmetry_Int_Tables_number 1
loop_
_symmetry_equiv_pos_as_xyz
'x,y,z'
loop_
_atom_site_label
_atom_site_fract_x
_atom_site_fract_y
_atom_site_fract_z
Cl1 0.500 0.500 0.330
Cl2 0.000 0.000 0.938
Cd1 0.500 0.500 0.737
Fe1 0.000 0.000 0.495
```

***

Arrangement 3

Material: CdFeCl2
Method: DFT, PBE-GGA
State: optimized geometry

Its space group is No. 216.

CIF file:
```
data_CdFeCl2
_cell_length_a 4.905
_cell_length_b 4.905
_cell_length_c 4.905
_cell_angle_alpha 60.00
_cell_angle_beta 60.00
_cell_angle_gamma 60.00
_symmetry_space_group_name_H-M 'P 1'
_symmetry_Int_Tables_number 1
loop_
_symmetry_equiv_pos_as_xyz
'x,y,z'
loop_
_atom_site_label
_atom_site_fract_x
_atom_site_fract_y
_atom_site_fract_z
Cl1 0.000 0.000 0.000
Cl2 0.250 0.250 0.250
Cd1 0.500 0.500 0.500
Fe1 0.750 0.750 0.750
```

***

arrangement 1 comes first in stability; the runner-up is 90 meV/atom higher.

***

Arrangement 1

Material: CdFeCl2
Method: DFT, PBE-GGA
State: optimized geometry

Its space group is No. 12.

CIF file:
```
data_CdFeCl2
_cell_length_a 6.311
_cell_length_b 6.311
_cell_length_c 6.016
_cell_angle_alpha 61.65
_cell_angle_beta 61.65
_cell_angle_gamma 29.23
_symmetry_space_group_name_H-M 'P 1'
_symmetry_Int_Tables_number 1
loop_
_symmetry_equiv_pos_as_xyz
'x,y,z'
loop_
_atom_site_label
_atom_site_fract_x
_atom_site_fract_y
_atom_site_fract_z
Cl1 0.587 0.587 0.412
Cl2 0.913 0.913 0.088
Cd1 0.750 0.750 0.750
Fe1 0.250 0.250 0.250
```

***

Arrangement 2

Material: CdFeCl2
Method: DFT, PBE-GGA
State: optimized geometry

Its space group is No. 47.

CIF file:
```
data_CdFeCl2
_cell_length_a 3.333
_cell_length_b 6.035
_cell_length_c 4.214
_cell_angle_alpha 90.00
_cell_angle_beta 90.00
_cell_angle_gamma 90.00
_symmetry_space_group_name_H-M 'P 1'
_symmetry_Int_Tables_number 1
loop_
_symmetry_equiv_pos_as_xyz
'x,y,z'
loop_
_atom_site_label
_atom_site_fract_x
_atom_site_fract_y
_atom_site_fract_z
Cl1 0.500 0.500 0.000
Cl2 0.000 0.000 0.000
Cd1 0.000 0.500 0.500
Fe1 0.500 0.000 0.500
```

***

Arrangement 3

Material: CdFeCl2
Method: DFT, PBE-GGA
State: optimized geometry

Its space group is No. 123.

CIF file:
```
data_CdFeCl2
_cell_length_a 3.099
_cell_length_b 3.099
_cell_length_c 9.206
_cell_angle_alpha 90.00
_cell_angle_beta 90.00
_cell_angle_gamma 90.00
_symmetry_space_group_name_H-M 'P 1'
_symmetry_Int_Tables_number 1
loop_
_symmetry_equiv_pos_as_xyz
'x,y,z'
loop_
_atom_site_label
_atom_site_fract_x
_atom_site_fract_y
_atom_site_fract_z
Cl1 0.000 0.000 0.414
Cl2 0.000 0.000 0.086
Cd1 0.500 0.500 0.750
Fe1 0.500 0.500 0.250
```

***

Arrangement 4

Material: CdFeCl2
Method: DFT, PBE-GGA
State: optimized geometry

Its space group is No. 119.

CIF file:
```
data_CdFeCl2
_cell_length_a 6.749
_cell_length_b 6.749
_cell_length_c 6.749
_cell_angle_alpha 147.13
_cell_angle_beta 147.13
_cell_angle_gamma 47.18
_symmetry_space_group_name_H-M 'P 1'
_symmetry_Int_Tables_number 1
loop_
_symmetry_equiv_pos_as_xyz
'x,y,z'
loop_
_atom_site_label
_atom_site_fract_x
_atom_site_fract_y
_atom_site_fract_z
Cl1 0.000 0.000 0.000
Cl2 0.250 0.750 0.500
Cd1 0.750 0.250 0.500
Fe1 0.500 0.500 0.000
```

***

arrangement 1 comes first in stability; the runner-up is 86 meV/atom higher.